[1]
## NpRuPt (GGA-PBE)

Data for crystalline NpRuPt at its relaxed geometry.

Output
Its space-group type is Cmcm (63). As for the energy of formation: 0.36 eV/f.u. The mass density comes out at 15.88 g cm⁻³.

Cell lengths 2.9473, 4.4949, 8.5459 Å; angles 90.00, 99.93, 90.00 degrees
Closest atoms and distances in Å follow each position.
Element x y z (fractional)
Np 0.1165 0.8755 0.2331  2 Ru 2.50-2.51
Np 0.8835 0.3755 0.7669  2 Ru 2.50-2.51
Ru 0.9492 0.8756 0.8983  2 Np 2.50-2.51
Ru 0.0508 0.3756 0.1017  2 Np 2.50-2.51
Pt 0.2235 0.3754 0.4469  6 Pt 2.83-2.95, 4 Np 2.88-3.07, 1 Ru 2.91
Pt 0.7765 0.8754 0.5531  6 Pt 2.83-2.95, 4 Np 2.88-3.07, 1 Ru 2.91

***

[2]
## Cs3Pu3MoS8 (GGA-PBE)

Data for crystalline Cs3Pu3MoS8 at its relaxed geometry.

Output
Its space-group type is C2/m (12). As for the energy relative to the elements, uncorrected: -1.2981 eV/atom. The mass density comes out at 5.43 g cm⁻³.

Cell lengths 7.9894, 8.0130, 9.4060 Å; angles 115.21, 89.91, 120.10 degrees
Closest atoms and distances in Å follow each position.
Element x y z (fractional)
Cs 0.0000 0.0000 0.0000  6 S 3.48-3.52
Cs 0.0000 0.5000 0.0000  6 S 3.48-3.52
Cs 0.5000 0.5000 0.0000  6 S 3.46-3.50
Pu 0.5000 0.0000 0.5000  6 S 2.75-2.77
Pu 0.5000 0.5000 0.5000  6 S 2.75-2.77
Pu 0.0000 0.5000 0.5000  6 S 2.76-2.78
Mo 0.0000 0.0000 0.5000  6 S 2.55-2.56
S 0.2745 0.5457 0.3169  3 Pu 2.75-2.76
S 0.7255 0.4543 0.6831  3 Pu 2.75-2.76
S 0.7887 0.5783 0.3302  1 Mo 2.55, 2 Pu 2.77-2.78
S 0.2113 0.4217 0.6698  1 Mo 2.55, 2 Pu 2.77-2.78
S 0.7887 0.0406 0.3302  1 Mo 2.55, 2 Pu 2.77-2.78
S 0.2113 0.9594 0.6698  1 Mo 2.55, 2 Pu 2.77-2.78
S 0.2548 0.0428 0.3308  1 Mo 2.56, 2 Pu 2.76
S 0.7452 0.9572 0.6692  1 Mo 2.56, 2 Pu 2.76

***

[3]
## PrCoGe2 (GGA-PBE)

Data for crystalline PrCoGe2 at its relaxed geometry.

Output
Its space-group type is Pnma (62). As for the energy of formation: -2.52 eV/f.u. The mass density comes out at 7.44 g cm⁻³.

Cell lengths 4.2181, 7.0069, 10.4206 Å; angles 90.00, 90.00, 90.00 degrees
Closest atoms and distances in Å follow each position.
Element x y z (fractional)
Pr 0.7500 0.6717 0.6265  9 Ge 3.12-3.35, 4 Co 3.18-3.45
Pr 0.2500 0.8283 0.1265  9 Ge 3.12-3.35, 4 Co 3.18-3.45
Pr 0.2500 0.3283 0.3735  9 Ge 3.12-3.35, 4 Co 3.18-3.45
Pr 0.7500 0.1717 0.8735  9 Ge 3.12-3.35, 4 Co 3.18-3.45
Co 0.7500 0.9890 0.3655  5 Ge 2.31-2.40
Co 0.2500 0.5110 0.8655  5 Ge 2.31-2.40
Co 0.2500 0.0110 0.6345  5 Ge 2.31-2.40
Co 0.7500 0.4890 0.1345  5 Ge 2.31-2.40
Ge 0.7500 0.1422 0.5676  3 Co 2.36-2.40
Ge 0.2500 0.3578 0.0676  3 Co 2.36-2.40
Ge 0.2500 0.8578 0.4324  3 Co 2.36-2.40
Ge 0.7500 0.6422 0.9324  3 Co 2.36-2.40
Ge 0.7500 0.6516 0.3271  2 Co 2.31-2.40
Ge 0.2500 0.8484 0.8271  2 Co 2.31-2.40
Ge 0.2500 0.3484 0.6729  2 Co 2.31-2.40
Ge 0.7500 0.1516 0.1729  2 Co 2.31-2.40

***

[4]
## Tb5NdEr4 (GGA-PBE)

Data for crystalline Tb5NdEr4 at its relaxed geometry.

Output
Its space-group type is I4 (79). As for the energy of formation: 3.03 eV/f.u. The mass density comes out at 8.20 g cm⁻³.

Cell lengths 6.3018, 7.8469, 7.8469 Å; angles 80.72, 66.32, 66.32 degrees
Closest atoms and distances in Å follow each position.
Element x y z (fractional)
Tb 0.8047 0.3795 0.9108  4 Er 3.21-3.51, 1 Nd 3.28, 1 Tb 3.29
Tb 0.1842 0.9108 0.6205  4 Er 3.21-3.51, 1 Nd 3.28, 1 Tb 3.29
Tb 0.7155 0.0892 0.3795  4 Er 3.21-3.51, 1 Nd 3.28, 1 Tb 3.29
Tb 0.0951 0.6205 0.0892  4 Er 3.21-3.51, 1 Nd 3.28, 1 Tb 3.29
Tb 0.6777 0.0000 0.0000  1 Nd 2.87
Nd 0.2219 0.0000 0.0000  1 Tb 2.87
Er 0.4027 0.3990 0.7013  4 Tb 3.21-3.51, 1 Er 3.24
Er 0.8017 0.7013 0.6010  4 Tb 3.21-3.51, 1 Er 3.24
Er 0.1039 0.2987 0.3990  4 Tb 3.21-3.51, 1 Er 3.24
Er 0.5029 0.6010 0.2987  4 Tb 3.21-3.51, 1 Er 3.24

***

| no. | electronic total energy (eV/atom) |
| --- | --- |
| 1 | -9.30 |
| 2 | -7.26 |
| 3 | -5.91 |
| 4 | -4.31 |